Entry 1:
Compound: Li2MgPa
Source: Alexandria via LeMat-Bulk
Functional: PBE-GGA
Structure: optimized geometry

Output
D(E_F)	5.1	states/eV per cell
E_form	0.205	eV/atom
uncorrected energy	-0.1295	Ha/atom

Lattice parameters (Å, degrees): 3.017 3.017 11.364 82.37 82.37 60.00
Sites, in units of the cell vectors:
1 Mg 0.500 0.500 0.500
2 Pa 0.000 0.000 0.000
3 Li 0.090 0.090 0.730
4 Li 0.910 0.910 0.270

=====

Entry 2:
Compound: LiMgPaPd
Source: Alexandria via LeMat-Bulk
Functional: PBE-GGA
Structure: optimized geometry

Output
D(E_F)	4.5	states/eV per cell
E_form	-0.103	eV/atom
uncorrected energy	-0.1710	Ha/atom

Lattice parameters (Å, degrees): 4.799 4.799 4.799 60.00 60.00 60.00
Sites, in units of the cell vectors:
1 Mg 0.000 0.000 0.000
2 Pa 0.500 0.500 0.500
3 Pd 0.250 0.250 0.250
4 Li 0.750 0.750 0.750

=====

Entry 3:
Compound: LiMgPa2Pt4
Source: Alexandria via LeMat-Bulk
Functional: PBE-GGA
Structure: optimized geometry

Output
D(E_F)	6.8	states/eV per cell
E_form	-0.854	eV/atom
uncorrected energy	-0.2457	Ha/atom

Lattice parameters (Å, degrees): 4.821 4.821 8.152 72.80 72.80 60.00
Sites, in units of the cell vectors:
1 Li 0.500 0.500 0.500
2 Mg 0.000 0.000 0.000
3 Pa 0.752 0.752 0.744
4 Pa 0.248 0.248 0.256
5 Pt 0.379 0.379 0.864
6 Pt 0.879 0.879 0.362
7 Pt 0.121 0.121 0.638
8 Pt 0.621 0.621 0.136

=====

Entry 4:
Compound: LiMgPaPt
Source: Alexandria via LeMat-Bulk
Functional: PBE-GGA
Structure: optimized geometry

Output
D(E_F)	3.3	states/eV per cell
E_form	-0.396	eV/atom
uncorrected energy	-0.1895	Ha/atom

Lattice parameters (Å, degrees): 4.779 4.779 4.779 60.00 60.00 60.00
Sites, in units of the cell vectors:
1 Mg 0.500 0.500 0.500
2 Pa 0.000 0.000 0.000
3 Pt 0.750 0.750 0.750
4 Li 0.250 0.250 0.250

=====

Entry 5:
Compound: LiMgPa2Rh4
Source: Alexandria via LeMat-Bulk
Functional: PBE-GGA
Structure: optimized geometry

Output
D(E_F)	8.9	states/eV per cell
E_form	-0.613	eV/atom
uncorrected energy	-0.2610	Ha/atom

Lattice parameters (Å, degrees): 4.664 4.664 8.081 73.23 73.23 60.00
Sites, in units of the cell vectors:
1 Li 0.500 0.500 0.500
2 Mg 0.000 0.000 0.000
3 Pa 0.752 0.752 0.743
4 Pa 0.248 0.248 0.257
5 Rh 0.374 0.374 0.879
6 Rh 0.875 0.875 0.374
7 Rh 0.125 0.125 0.626
8 Rh 0.626 0.626 0.121

=====

Entry 6:
Compound: LiMgPaRh
Source: Alexandria via LeMat-Bulk
Functional: PBE-GGA
Structure: optimized geometry

Output
D(E_F)	4.9	states/eV per cell
E_form	-0.189	eV/atom
uncorrected energy	-0.1940	Ha/atom

Lattice parameters (Å, degrees): 4.734 4.734 4.734 60.00 60.00 60.00
Sites, in units of the cell vectors:
1 Mg 0.750 0.750 0.750
2 Pa 0.250 0.250 0.250
3 Rh 0.500 0.500 0.500
4 Li 0.000 0.000 0.000